## LaSi2Cl (SCAN)

Data for a PBEsol-optimized structure of LaSi2Cl.

Offset from the most stable computed form, meV per atom: 0
Energy relative to the elements, uncorrected, eV per atom: -0.742
Crystal system: monoclinic

Unit cell a=3.8459 b=4.0905 c=5.9364 alpha=108.64 beta=90.00 gamma=90.00
Last column: nearest neighbours and their distance in Å.
Atoms (fractional coordinates):
La1 0.5000 0.1095 0.7092  4 Cl 2.93-2.95, 5 Si 3.02-3.28
Cl1 0.0000 0.5406 0.5550  1 Si 2.80, 4 La 2.93-2.95
Si1 0.5000 0.7748 0.1430  2 Si 2.35
Si2 0.0000 0.0751 0.0928  2 Si 2.35